Entry 1:
First-principles (PBE) data for a relaxed Ti2NbPdC crystal, as listed in Alexandria.

a = 4.167 Å, b = 4.167 Å, c = 4.290 Å
α = 90.00°, β = 90.00°, γ = 90.00°
Positions (direct):
Ti 0.000 0.500 0.000
Ti 0.500 0.000 0.000
Nb 0.000 0.000 0.500
Pd 0.500 0.500 0.500
C 0.000 0.000 0.000

Results
Symmetry: No. 123

***

Entry 2:
First-principles (PBE) data for a relaxed TiNb2PdC crystal, as listed in Alexandria.

a = 4.298 Å, b = 4.298 Å, c = 4.154 Å
α = 90.00°, β = 90.00°, γ = 90.00°
Positions (direct):
Ti 0.000 0.000 0.000
Nb 0.000 0.500 0.500
Nb 0.500 0.000 0.500
Pd 0.500 0.500 0.000
C 0.000 0.000 0.500

Results
Symmetry: No. 123

***

Number 1: size of the total moment 0.0 μB/f.u., E_form -0.450 eV/atom. Number 2: size of the total moment 0.0 μB/f.u., E_form -0.326 eV/atom.